Computed, not measured: Tm3Ga3Hg2 after structural relaxation at the PBE level of DFT.

Calculated values
magnetization: 0.2 μB per formula unit
formation energy: -0.495 eV/atom

Lattice parameters (Å, degrees): 4.441 10.993 14.482 90.00 90.00 90.00
Space group Cmcm (No. 63)
Inequivalent atoms, fractional coordinates:
Tm1 0.000 0.074 0.116 (multiplicity 8)
Tm2 0.000 0.348 0.250 (multiplicity 4)
Ga1 0.000 0.376 0.750 (multiplicity 4)
Ga2 0.000 0.403 0.046 (multiplicity 8)
Hg1 0.000 0.218 0.599 (multiplicity 8)